[1]
Compound: CoMoRh2
Source: the Alexandria database
Functional: PBE
Structure: optimized geometry

```
data_CoMoRh2
_chemical_formula_sum 'Co1 Mo1 Rh2'
_cell_length_a 4.653
_cell_length_b 4.653
_cell_length_c 4.653
_cell_angle_alpha 131.90
_cell_angle_beta 131.91
_cell_angle_gamma 70.38
_symmetry_space_group_name_H-M 'P 1'
_symmetry_Int_Tables_number 1
loop_
_symmetry_equiv_pos_as_xyz
'x,y,z'
loop_
_atom_site_label
_atom_site_fract_x
_atom_site_fract_y
_atom_site_fract_z
_atom_site_occupancy
Rh1 0.750 0.250 0.500 1
Co1 0.500 0.500 0.000 1
Mo1 0.250 0.750 0.500 1
Rh2 0.000 0.000 0.000 1
```

The formation energy comes out at -0.069 eV per atom. The value obtained for the excess energy over the best structure of this formula in the dataset is 0.045 eV/atom. For the final energy, the calculation gives -8.229 eV per atom. The calculation puts the total moment at 1.1 μB per formula unit. As for the crystal system: tetragonal.

[2]
Compound: CaLa2CeAs4
Source: the Alexandria database
Functional: PBE
Structure: optimized geometry

```
data_CaLa2CeAs4
_chemical_formula_sum 'Ca1 La2 Ce1 As4'
_cell_length_a 4.328
_cell_length_b 7.431
_cell_length_c 7.436
_cell_angle_alpha 109.24
_cell_angle_beta 90.00
_cell_angle_gamma 90.00
_symmetry_space_group_name_H-M 'P 1'
_symmetry_Int_Tables_number 1
loop_
_symmetry_equiv_pos_as_xyz
'x,y,z'
loop_
_atom_site_label
_atom_site_fract_x
_atom_site_fract_y
_atom_site_fract_z
_atom_site_occupancy
Ca1 0.500 0.500 0.000 1
As1 0.000 0.757 0.243 1
Ce1 0.000 0.000 0.000 1
La1 0.500 0.000 0.500 1
La2 0.000 0.500 0.500 1
As2 0.500 0.241 0.239 1
As3 0.500 0.759 0.761 1
As4 0.000 0.243 0.757 1
```

The formation energy comes out at -1.411 eV per atom. For the final energy, the calculation gives -5.960 eV per atom. The calculation puts the total moment at 0.1 μB per formula unit. As for the crystal system: monoclinic.